Below is a geometry-optimized KRe2Mo structure, with properties calculated at the GGA-PBEsol level.

Cell and atoms, written as extended XYZ:
```
4
Lattice="1.392 0.804 10.538 -1.392 0.804 10.538 0.000 -1.607 10.538" Properties=species:S:1:pos:R:3 pbc="T T T"
K 0.000 0.000 0.000
Re 0.000 0.000 7.531
Re 0.000 0.000 15.956
Mo 0.000 0.000 24.229
```

Values from the calculation:
The raw total energy comes out at -36.37 eV/cell. The value obtained for the mass density is 11.9 g cm⁻³. The offset from the most stable computed form is 0.00 eV/f.u. The energy of formation is 0.799 eV/atom.